Record 1
Computed, not measured: a relaxed BeTePb2 crystal at the PBE level of DFT.

The total energy is -3.370 eV/atom. The calculation puts the calculated density at 8.395 g/cm³. The calculation puts the polymorph energy (0 for the lowest one) at 4.6 kJ/mol of atoms. Its density of states at the Fermi level is 2.7 states/eV/cell. The uncorrected formation energy is 0.20 eV/atom.

The space group is Immm (No. 71) and the conventional cell measures 3.6003, 3.6650 and 16.5200 Å, with angles of 90.00, 90.00 and 90.00 degrees. The inequivalent atoms are Be at (0.0000, 0.0000, 0.0000), Te at (0.0000, 0.0000, 0.5000) and Pb at (0.0000, 0.5000, 0.3237).

=====

Record 2
Computed, not measured: a relaxed LiGaAg2Au crystal at the PBE level of DFT.

The total energy is -2.888 eV/atom. The calculation puts the calculated density at 8.200 g/cm³. Its density of states at the Fermi level is 7.5 states/eV/cell. The formation energy comes out at -104.2 meV per atom.

The space group is Cmcm (No. 63) and the conventional cell measures 5.6006, 12.6517 and 5.5943 Å, with angles of 90.00, 90.00 and 90.00 degrees. The inequivalent atoms are Li at (0.0000, 0.2440, 0.2500), Ga at (0.0000, 0.3598, 0.7500), Ag at (0.2462, 0.0000, 0.0000) and Au at (0.0000, 0.1662, 0.7500).

=====

> Number 2 is which compound?

LiGaAg2Au

=====

> The lowest calculated density belongs to which entry?

LiGaAg2Au

=====

> calculated density of number 1 (BeTePb2)?

8.395 g/cm³

=====

> Among the records above, which one has the lowest calculated density?

LiGaAg2Au